[1]
{
  "formula": "HfTaB2",
  "functional": "GGA-PBE",
  "state": "relaxed",
  "cell": [[0.000, 2.988, 2.988], [2.988, 0.000, 2.988], [2.988, 2.988, 0.000]],
  "species": ["Hf", "Ta", "B", "B"],
  "fractional_positions": [[0.000, 0.000, 0.000], [0.750, 0.750, 0.750], [0.250, 0.250, 0.250], [0.500, 0.500, 0.500]],
  "total_magnetization_mub_per_fu": 0.007,
  "dft_energy_ev_per_cell": -29.69,
  "spacegroup": "No. 216"
}

***

[2]
{
  "formula": "Hf2TaB",
  "functional": "GGA-PBE",
  "state": "relaxed",
  "cell": [[0.000, 3.217, 3.217], [3.217, 0.000, 3.217], [3.217, 3.217, 0.000]],
  "species": ["Hf", "Hf", "Ta", "B"],
  "fractional_positions": [[0.000, 0.000, 0.000], [0.250, 0.250, 0.250], [0.750, 0.750, 0.750], [0.500, 0.500, 0.500]],
  "total_magnetization_mub_per_fu": 0.009,
  "dft_energy_ev_per_cell": -35.89,
  "spacegroup": "No. 216"
}

***

[3]
{
  "formula": "HfTaB4",
  "functional": "GGA-PBE",
  "state": "relaxed",
  "cell": [[3.120, 0.000, 0.000], [-1.560, 2.702, 0.000], [0.000, 0.000, 6.791]],
  "species": ["Hf", "Ta", "B", "B", "B", "B"],
  "fractional_positions": [[0.000, 0.000, 0.000], [0.000, 0.000, 0.500], [0.333, 0.667, 0.256], [0.333, 0.667, 0.744], [0.667, 0.333, 0.256], [0.667, 0.333, 0.744]],
  "total_magnetization_mub_per_fu": 0.001,
  "dft_energy_ev_per_cell": -53.60,
  "spacegroup": "No. 191"
}